No. 1
Material: K3ZnB
Method: DFT, GGA-PBE
State: optimized geometry

Output
crystal system: cubic
excess energy over the best structure of this formula in the dataset: 0 meV/atom
M_tot: 1.74 μB per cell
energy relative to the elements: 81.0 kJ/mol of atoms

abc: 6.071 6.071 6.071
angles: 90.00 90.00 90.00
Site moments in Bohr magnetons follow the coordinates.
Sites, in units of the cell vectors:
B: 0.000 0.000 0.000  0.60
Zn: 0.500 0.500 0.500  -0.01
K: 0.500 0.000 0.000  0.04
K: 0.000 0.500 0.000  0.03
K: 0.000 0.000 0.500  0.03

No. 2
Material: KZnB3
Method: DFT, GGA-PBE
State: optimized geometry

Output
crystal system: cubic
excess energy over the best structure of this formula in the dataset: 1505 meV/atom
M_tot: 0.11 μB per cell
energy relative to the elements: 318.1 kJ/mol of atoms

abc: 5.008 5.008 5.008
angles: 90.00 90.00 90.00
Sites, in units of the cell vectors:
B: 0.000 0.500 0.000
B: 0.000 0.000 0.500
B: 0.500 0.000 0.000
Zn: 0.500 0.500 0.500
K: 0.000 0.000 0.000

No. 3
Material: KZn3B
Method: DFT, GGA-PBE
State: optimized geometry

Output
crystal system: cubic
excess energy over the best structure of this formula in the dataset: 0 meV/atom
M_tot: 0.00 μB per cell
energy relative to the elements: 45.0 kJ/mol of atoms

abc: 4.493 4.493 4.493
angles: 90.00 90.00 90.00
Sites, in units of the cell vectors:
Zn: 0.000 0.000 0.500
Zn: 0.000 0.500 0.000
Zn: 0.500 0.000 0.000
K: 0.500 0.500 0.500
B: 0.000 0.000 0.000